Entry 1:
PBE Sr3Sm, optimized geometry; raw total energy = -2.278 eV/atom; crystal system = tetragonal
1.0
-3.310 4.374 -3.287
1.710 -2.822 -5.478
-2.884 -3.409 4.589
Sr Sm
3 1
Direct
0.500 0.500 0.000 Sr
0.750 0.250 0.500 Sr
0.250 0.750 0.500 Sr
0.000 0.000 0.000 Sm

Entry 2:
PBE BaCrHg, optimized geometry; raw total energy = -3.674 eV/atom; crystal system = tetragonal
1.0
6.507 -0.084 0.092
5.386 3.651 0.100
1.121 0.328 3.721
Hg Ba Cr
1 1 1
Direct
0.295 0.295 0.705 Hg
0.998 0.998 0.002 Ba
0.707 0.707 0.293 Cr

Entry 3:
PBE CoHg2Br, optimized geometry; raw total energy = -1.755 eV/atom; raw formation energy = 0.59 eV/atom; crystal system = tetragonal
1.0
5.024 0.000 0.000
0.000 5.024 0.000
0.000 0.000 3.556
Br Hg Co
1 2 1
Direct
0.500 0.000 0.500 Br
0.000 0.000 0.000 Hg
0.500 0.500 0.000 Hg
0.000 0.500 0.500 Co

Entry 4:
PBE CsZnSnAs2, optimized geometry; raw total energy = -3.345 eV/atom; crystal system = monoclinic
1.0
-1.991 2.681 3.538
3.639 -5.632 2.970
7.548 6.642 -0.785
As Cs Zn Sn
4 2 2 2
Direct
0.609 0.218 0.290 As
0.391 0.782 0.710 As
0.141 0.281 0.951 As
0.859 0.719 0.049 As
0.661 0.322 0.670 Cs
0.339 0.678 0.330 Cs
0.337 0.674 0.938 Zn
0.663 0.326 0.062 Zn
0.051 0.101 0.181 Sn
0.949 0.899 0.819 Sn

Entry 5:
PBE Sc2Sn2Te, optimized geometry; raw total energy = -5.117 eV/atom; raw formation energy = -0.35 eV/atom; crystal system = tetragonal
1.0
-3.295 -6.899 -2.743
7.341 -3.477 -0.073
-0.529 -1.194 3.638
Te Sc Sn
2 4 4
Direct
0.000 0.000 0.000 Te
0.500 0.500 0.000 Te
0.181 0.681 0.500 Sc
0.319 0.181 0.500 Sc
0.819 0.319 0.500 Sc
0.681 0.819 0.500 Sc
0.877 0.623 0.000 Sn
0.123 0.377 0.000 Sn
0.377 0.877 0.000 Sn
0.623 0.123 0.000 Sn

Entry 6:
PBE NpAl2Pd9, optimized geometry; raw total energy = -6.144 eV/atom; crystal system = tetragonal
1.0
4.014 0.000 0.000
0.000 4.014 0.000
0.000 0.000 11.810
Al Pd Np
2 9 1
Direct
0.000 0.000 0.654 Al
0.000 0.000 0.346 Al
0.500 0.500 0.000 Pd
0.500 0.000 0.500 Pd
0.500 0.000 0.823 Pd
0.000 0.500 0.500 Pd
0.500 0.500 0.662 Pd
0.000 0.500 0.823 Pd
0.500 0.500 0.338 Pd
0.500 0.000 0.177 Pd
0.000 0.500 0.177 Pd
0.000 0.000 0.000 Np

Entry 7:
PBE Ti4Co2Ru, optimized geometry; raw total energy = -8.161 eV/atom; crystal system = tetragonal
1.0
-1.077 2.535 -4.369
-1.159 -5.002 -0.556
-2.795 1.949 3.881
Co Ti Ru
2 4 1
Direct
0.500 0.500 0.000 Co
0.500 0.000 0.500 Co
0.000 0.500 0.000 Ti
0.000 0.000 0.500 Ti
0.500 0.000 0.000 Ti
0.500 0.500 0.500 Ti
0.000 0.000 0.000 Ru

Entry 8:
PBE Ca2VZnRh, optimized geometry; raw total energy = -3.696 eV/atom; crystal system = tetragonal
1.0
5.322 0.000 0.000
0.000 4.831 0.000
0.000 0.000 5.322
Zn Ca V Rh
1 2 1 1
Direct
0.000 0.500 0.000 Zn
0.500 0.000 0.000 Ca
0.000 0.000 0.500 Ca
0.500 0.500 0.500 V
0.000 0.000 0.000 Rh

Entry 9:
PBE Tb3Ho6Er2, optimized geometry; raw total energy = -4.302 eV/atom; crystal system = tetragonal
1.0
4.686 0.000 0.000
0.000 4.686 0.000
-2.343 -2.343 16.465
Tb Ho Er
3 6 2
Direct
0.000 0.000 0.000 Tb
0.799 0.799 0.599 Tb
0.201 0.201 0.401 Tb
0.304 0.304 0.608 Ho
0.379 0.879 0.758 Ho
0.121 0.621 0.242 Ho
0.879 0.379 0.758 Ho
0.696 0.696 0.392 Ho
0.621 0.121 0.242 Ho
0.454 0.454 0.908 Er
0.546 0.546 0.092 Er

Entry 10:
PBE ReSbPt, optimized geometry; raw total energy = -7.201 eV/atom; raw formation energy = 0.34 eV/atom; crystal system = cubic
1.0
-0.366 -2.525 3.589
3.423 -2.420 1.348
2.149 1.088 3.686
Sb Pt Re
1 1 1
Direct
0.000 0.000 0.000 Sb
0.500 0.500 0.500 Pt
0.750 0.750 0.750 Re

Entry 11:
PBE Ta2CuOs, optimized geometry; raw total energy = -9.814 eV/atom; crystal system = tetragonal
1.0
3.250 0.000 0.000
0.000 3.250 0.000
0.000 0.000 5.977
Os Cu Ta
1 1 2
Direct
0.500 0.500 0.736 Os
0.000 0.000 0.503 Cu
0.500 0.500 0.279 Ta
0.000 0.000 0.982 Ta

Entry 12:
PBE Ba4Au, optimized geometry; raw total energy = -2.503 eV/atom; crystal system = cubic
1.0
6.580 0.000 0.000
0.000 6.580 0.000
0.000 0.000 6.580
Ba Au
4 1
Direct
0.500 0.500 0.000 Ba
0.000 0.500 0.500 Ba
0.000 0.000 0.000 Ba
0.500 0.000 0.500 Ba
0.500 0.500 0.500 Au